! PBE-GGA SmEuAg2, relaxed; values from VASP
! Total magnetic moment ... 7.28 μB/cell
! V ... 106.9 Å³/cell
! Energy of formation from the pure elements ... -284 meV/atom
! Energy above the most stable polymorph in this dataset ... 0 meV/atom
! Total energy ... -5.458 eV/atom
&SYSTEM
  ibrav = 0, nat = 4, ntyp = 3
/
ATOMIC_SPECIES
Ag 107.87 Ag.upf
Eu 151.96 Eu.upf
Sm 150.36 Sm.upf
CELL_PARAMETERS angstrom
-2.843 -1.812 -1.670
2.073 -3.138 -0.125
-2.674 -2.035 6.763
ATOMIC_POSITIONS crystal
Ag 0.000 0.000 0.774
Ag 0.000 0.000 0.226
Eu 0.500 0.500 0.500
Sm 0.500 0.500 0.000